{"formula": "Tl2OsW", "functional": "PBE", "state": "optimized geometry", "total_magnetization_mub_per_fu": 0.6, "de_polymorph_ev_per_atom": 0.847, "spacegroup": "No. 123", "delta_e_f_mev_per_atom": 1339, "lattice": [[2.968, 0.000, 0.000], [0.000, 2.968, 0.000], [0.000, 0.000, 8.644]], "species": ["Tl", "Tl", "Os", "W"], "frac_coords": [[0.000, 0.000, 0.237], [0.000, 0.000, 0.763], [0.500, 0.500, 0.000], [0.500, 0.500, 0.500]]}